Compound: Mg2VIrO6
Source: the Alexandria database
Functional: PBE with a Hubbard U
Structure: optimized geometry

Structure (extended XYZ):
```
10
Lattice="5.6382 0.0000 0.0000 0.0000 5.6382 0.0000 0.0000 0.0000 3.9277" Properties=species:S:1:pos:R:3 pbc="T T T"
Mg 0.0000 2.8191 0.0000
Mg 2.8191 0.0000 0.0000
V 0.0000 0.0000 2.9601
Ir 2.8191 2.8191 3.2439
O 0.0000 0.0000 1.2809
O 1.3787 1.3787 3.4001
O 1.3787 4.2595 3.4001
O 2.8191 2.8191 1.2924
O 4.2595 1.3787 3.4001
O 4.2595 4.2595 3.4001
```

Results
Density: 5.16 g cm⁻³
DOS(E_F): 3.16 states/eV per cell
Spin magnetization: 0.131 μB per atom
Distance to the lowest polymorph of the same formula: 249 meV per atom
Total DFT energy (no corrections): -65.08 eV per cell

=====

Compound: Mg2VIrO6
Source: the Alexandria database
Functional: PBE with a Hubbard U
Structure: optimized geometry

Structure (extended XYZ):
```
20
Lattice="5.1372 0.0000 0.0000 0.0000 5.3031 0.0000 -5.1239 0.0000 7.5215" Properties=species:S:1:pos:R:3 pbc="T T T"
Mg 0.0116 0.2651 1.8412
Mg -2.5503 2.3864 5.6020
Mg 2.5637 2.9167 1.9196
Mg 0.0017 5.0379 5.6803
V 2.5686 0.0000 0.0000
V 0.0067 2.6515 3.7608
Ir -2.5619 0.0000 3.7608
Ir 0.0000 2.6515 0.0000
O -3.2097 0.4045 5.6564
O -0.6477 2.2470 1.8956
O -1.6100 3.5870 4.2001
O 0.9519 4.3676 0.4393
O -0.8915 0.9807 4.3122
O 1.6705 1.6709 0.5514
O -1.6571 3.6322 6.9701
O 0.9048 4.3224 3.2094
O -0.9386 0.9354 7.0822
O 1.6234 1.7161 3.3215
O 0.6611 3.0561 5.6259
O 3.2230 4.8985 1.8652
```

Results
Density: 6.28 g cm⁻³
DOS(E_F): 9.80 states/eV per cell
Spin magnetization: 0.004 μB per atom
Distance to the lowest polymorph of the same formula: 0 meV per atom
Total DFT energy (no corrections): -135.14 eV per cell

=====

Compound: MgV2IrO
Source: the Alexandria database
Functional: PBE with a Hubbard U
Structure: optimized geometry

Structure (extended XYZ):
```
5
Lattice="4.7650 0.0000 0.0000 0.0000 4.7650 0.0000 0.0000 0.0000 4.9213" Properties=species:S:1:pos:R:3 pbc="T T T"
Mg 0.0000 0.0000 0.0000
V 0.0000 2.3825 2.4607
V 2.3825 0.0000 2.4607
Ir 0.0000 0.0000 2.4607
O 2.3825 2.3825 0.0000
```

Results
Density: 4.97 g cm⁻³
DOS(E_F): 3.18 states/eV per cell
Spin magnetization: 0.961 μB per atom
Distance to the lowest polymorph of the same formula: 65 meV per atom
Total DFT energy (no corrections): -24.79 eV per cell

=====

Compound: MgV2IrO
Source: the Alexandria database
Functional: PBE with a Hubbard U
Structure: optimized geometry

Structure (extended XYZ):
```
5
Lattice="5.1500 0.0000 0.0000 0.0000 5.1500 0.0000 0.0000 0.0000 3.7839" Properties=species:S:1:pos:R:3 pbc="T T T"
Mg 0.0000 0.0000 0.0000
V 0.0000 2.5750 1.8919
V 2.5750 0.0000 1.8919
Ir 2.5750 2.5750 1.8919
O 2.5750 2.5750 0.0000
```

Results
Density: 5.53 g cm⁻³
DOS(E_F): 3.57 states/eV per cell
Spin magnetization: 0.306 μB per atom
Distance to the lowest polymorph of the same formula: 0 meV per atom
Total DFT energy (no corrections): -25.12 eV per cell